K4Y3RuO8 | PBE-GGA | optimized geometry

a b c (Å): 6.8020 6.8020 18.6607
angles (deg): 90.00 90.00 120.00
Space group R-3m (No. 166, hexagonal axes)
Symmetry-distinct sites (fractional):
K1 0.0000 0.0000 0.0000 x3
K2 0.0000 0.5000 0.0000 x9
Y1 0.0000 0.5000 0.5000 x9
Ru1 0.0000 0.0000 0.5000 x3
O1 0.0000 0.0000 0.2292 x6
O2 0.0127 0.5063 0.2288 x18

Properties
* crystal system: trigonal
* calculated total energy: -6.794 eV per atom
* calculated density: 4.35 g cm⁻³

Be2ReIr | PBE-GGA | optimized geometry

a b c (Å): 2.755 4.574 7.766
angles (deg): 90.00 90.00 90.00
Space group Immm (No. 71)
Symmetry-distinct sites (fractional):
Be1 0.000 0.000 0.242 x4
Re1 0.000 0.500 0.000 x2
Ir1 0.000 0.500 0.500 x2

Properties
* crystal system: orthorhombic
* energy above the most stable polymorph in this dataset: 318 meV/atom
* E_form: -6 meV per atom
* calculated total energy: -7.196 eV per atom
* calculated density: 13.46 g cm⁻³

ZrHgI2 | PBE-GGA | optimized geometry

a b c (Å): 7.717 7.717 7.717
angles (deg): 90.00 90.00 90.00
Space group Fm-3m (No. 225)
Symmetry-distinct sites (fractional):
Zr1 0.000 0.000 0.000 x4
Hg1 0.000 0.000 0.500 x4
I1 0.250 0.250 0.250 x8

Properties
* crystal system: cubic
* energy above the most stable polymorph in this dataset: 605 meV/atom
* calculated total energy: -3.003 eV per atom
* calculated density: 7.88 g cm⁻³

Nd4TeAsS2 | PBE-GGA | optimized geometry

a b c (Å): 7.322 4.196 7.392
angles (deg): 90.00 108.96 90.00
Space group P2/m (No. 10)
Symmetry-distinct sites (fractional):
Nd1 0.222 0.000 0.223 x2
Nd2 0.237 0.500 0.762 x2
Te1 0.500 0.500 0.500 x1
As1 0.500 0.000 0.000 x1
S1 0.000 0.000 0.500 x1
S2 0.000 0.500 0.000 x1

Properties
* crystal system: monoclinic
* calculated total energy: -6.141 eV per atom
* calculated density: 6.52 g cm⁻³

SrEuAgGe | PBE-GGA | optimized geometry

a b c (Å): 7.628 7.628 7.628
angles (deg): 90.00 90.00 90.00
Space group F-43m (No. 216)
Symmetry-distinct sites (fractional):
Sr1 0.000 0.000 0.000 x4
Eu1 0.000 0.000 0.500 x4
Ag1 0.250 0.250 0.250 x4
Ge1 0.250 0.250 0.750 x4

Properties
* crystal system: cubic
* E_form: -437 meV per atom
* calculated total energy: -5.293 eV per atom
* calculated density: 6.29 g cm⁻³

CsCuPd2S | PBE-GGA | optimized geometry

a b c (Å): 5.211 5.211 5.307
angles (deg): 90.00 90.00 90.00
Space group P4/mmm (No. 123)
Symmetry-distinct sites (fractional):
Cs1 0.000 0.000 0.000 x1
Cu1 0.000 0.000 0.500 x1
Pd1 0.000 0.500 0.000 x2
S1 0.500 0.500 0.500 x1

Properties
* crystal system: tetragonal
* calculated total energy: -2.289 eV per atom
* calculated density: 5.09 g cm⁻³

YReAu4 | PBE-GGA | optimized geometry

a b c (Å): 7.769 7.769 7.769
angles (deg): 90.00 90.00 90.00
Space group F-43m (No. 216)
Symmetry-distinct sites (fractional):
Y1 0.000 0.000 0.000 x4
Re1 0.250 0.250 0.250 x4
Au1 0.125 0.125 0.625 x16

Properties
* crystal system: cubic
* E_form: 234 meV per atom
* calculated total energy: -5.103 eV per atom
* calculated density: 15.06 g cm⁻³

ZrTi2RhN | PBE-GGA | optimized geometry

a b c (Å): 4.590 4.590 5.115
angles (deg): 90.00 90.00 90.00
Space group P4/mmm (No. 123)
Symmetry-distinct sites (fractional):
Zr1 0.000 0.000 0.000 x1
Ti1 0.000 0.500 0.500 x2
Rh1 0.000 0.000 0.500 x1
N1 0.500 0.500 0.000 x1

Properties
* crystal system: tetragonal
* energy above the most stable polymorph in this dataset: 2150 meV/atom
* calculated total energy: -6.832 eV per atom
* calculated density: 4.68 g cm⁻³